Rb2SiSnS4 after structural relaxation, computed with PBE.

E_form (uncorrected) = -0.581 eV per atom
Size of the total moment = 0.00 μB/f.u.

Unit cell a=6.4124 b=14.3462 c=23.2763 alpha=90.00 beta=90.00 gamma=90.00
Space group Fddd (No. 70, origin choice 2)
Inequivalent atoms, fractional coordinates:
Rb1 0.1250 0.1250 0.3060 x16
Si1 0.1250 0.1250 0.6250 x8
Sn1 0.1250 0.1250 0.1250 x8
S1 0.1028 0.2770 0.4312 x32